Entry 1:
DFT (GGA-PBE) results for a relaxed KRb3F4 crystal.

Cell and atoms, written as CIF:
```
data_KRb3F4
_cell_length_a 5.656
_cell_length_b 5.656
_cell_length_c 5.656
_cell_angle_alpha 90.00
_cell_angle_beta 90.00
_cell_angle_gamma 90.00
_symmetry_space_group_name_H-M 'P m -3 m'
_symmetry_Int_Tables_number 221
_symmetry_space_group_name_Hall '-P 4 2 3'
loop_
_atom_site_label
_atom_site_type_symbol
_atom_site_fract_x
_atom_site_fract_y
_atom_site_fract_z
K1 K 0.000 0.000 0.000
Rb1 Rb 0.000 0.500 0.500
F1 F 0.000 0.000 0.500
F2 F 0.500 0.500 0.500
```

Values from the calculation:
- V (Å³ per cell) = 180.9
- excess energy over the best structure of this formula in the dataset (eV/f.u.) = 0.02
- energy (eV per atom) = -4.11
- energy relative to the elements, uncorrected (meV/atom) = -2676

Entry 2:
DFT (GGA-PBE) results for a relaxed K5Rb3F12 crystal.

Cell and atoms, written as CIF:
```
data_K5Rb3F12
_cell_length_a 15.805
_cell_length_b 15.805
_cell_length_c 15.805
_cell_angle_alpha 90.00
_cell_angle_beta 90.00
_cell_angle_gamma 90.00
_symmetry_space_group_name_H-M 'I a -3 d'
_symmetry_Int_Tables_number 230
_symmetry_space_group_name_Hall '-I 4bd 2c 3'
loop_
_atom_site_label
_atom_site_type_symbol
_atom_site_fract_x
_atom_site_fract_y
_atom_site_fract_z
K1 K 0.000 0.000 0.000
K2 K 0.000 0.250 0.375
Rb1 Rb 0.000 0.250 0.125
F1 F 0.021 0.072 0.653
```

Values from the calculation:
- V (Å³ per cell) = 3948.4
- energy (eV per atom) = -3.63
- energy relative to the elements, uncorrected (meV/atom) = -2089

Entry 3:
DFT (GGA-PBE) results for a relaxed KRb5F5 crystal.

Cell and atoms, written as CIF:
```
data_KRb5F5
_cell_length_a 12.967
_cell_length_b 5.727
_cell_length_c 8.224
_cell_angle_alpha 90.00
_cell_angle_beta 108.56
_cell_angle_gamma 90.00
_symmetry_space_group_name_H-M 'C 1 2/m 1'
_symmetry_Int_Tables_number 12
loop_
_symmetry_equiv_pos_as_xyz
'x,y,z'
'-x,-y,-z'
'-x,y,-z'
'x,-y,z'
'x+1/2,y+1/2,z'
'-x+1/2,-y+1/2,-z'
'-x+1/2,y+1/2,-z'
'x+1/2,-y+1/2,z'
loop_
_atom_site_label
_atom_site_type_symbol
_atom_site_fract_x
_atom_site_fract_y
_atom_site_fract_z
K1 K 0.000 0.000 0.000
Rb1 Rb 0.000 0.000 0.500
Rb2 Rb 0.170 0.500 0.848
Rb3 Rb 0.176 0.500 0.324
F1 F 0.000 0.500 0.000
F2 F 0.159 0.000 0.839
F3 F 0.165 0.000 0.322
```

Values from the calculation:
- V (Å³ per cell) = 579.0
- energy (eV per atom) = -3.76
- energy relative to the elements, uncorrected (meV/atom) = -2371

Entry 4:
DFT (GGA-PBE) results for a relaxed K3Rb2F5 crystal.

Cell and atoms, written as CIF:
```
data_K3Rb2F5
_cell_length_a 13.874
_cell_length_b 3.888
_cell_length_c 9.969
_cell_angle_alpha 90.00
_cell_angle_beta 125.72
_cell_angle_gamma 90.00
_symmetry_space_group_name_H-M 'C 1 2/m 1'
_symmetry_Int_Tables_number 12
loop_
_symmetry_equiv_pos_as_xyz
'x,y,z'
'-x,-y,-z'
'-x,y,-z'
'x,-y,z'
'x+1/2,y+1/2,z'
'-x+1/2,-y+1/2,-z'
'-x+1/2,y+1/2,-z'
'x+1/2,-y+1/2,z'
loop_
_atom_site_label
_atom_site_type_symbol
_atom_site_fract_x
_atom_site_fract_y
_atom_site_fract_z
K1 K 0.000 0.000 0.000
K2 K 0.113 0.500 0.376
Rb1 Rb 0.178 0.000 0.775
F1 F 0.000 0.500 0.500
F2 F 0.094 0.500 0.912
F3 F 0.201 0.000 0.307
```

Values from the calculation:
- V (Å³ per cell) = 436.5
- energy (eV per atom) = -4.12
- energy relative to the elements, uncorrected (meV/atom) = -2665

Entry 5:
DFT (GGA-PBE) results for a relaxed K4RbF6 crystal.

Cell and atoms, written as CIF:
```
data_K4RbF6
_cell_length_a 11.0884
_cell_length_b 11.0884
_cell_length_c 13.3021
_cell_angle_alpha 90.00
_cell_angle_beta 90.00
_cell_angle_gamma 120.00
_symmetry_space_group_name_H-M 'R -3 c'
_symmetry_Int_Tables_number 167
_symmetry_space_group_name_Hall '-R 3 2"c'
loop_
_atom_site_label
_atom_site_type_symbol
_atom_site_fract_x
_atom_site_fract_y
_atom_site_fract_z
K1 K 0.0000 0.0000 0.2500
K2 K 0.0000 0.3542 0.2500
Rb1 Rb 0.0000 0.0000 0.0000
F1 F 0.0536 0.2114 0.3828
```

Values from the calculation:
- V (Å³ per cell) = 1416.4
- energy (eV per atom) = -3.91
- energy relative to the elements, uncorrected (meV/atom) = -2404

Entry 6:
DFT (GGA-PBE) results for a relaxed K2Rb2F5 crystal.

Cell and atoms, written as CIF:
```
data_K2Rb2F5
_cell_length_a 13.979
_cell_length_b 7.255
_cell_length_c 7.293
_cell_angle_alpha 90.00
_cell_angle_beta 90.00
_cell_angle_gamma 90.00
_symmetry_space_group_name_H-M 'C m c e'
_symmetry_Int_Tables_number 64
_symmetry_space_group_name_Hall '-C 2ac 2'
loop_
_atom_site_label
_atom_site_type_symbol
_atom_site_fract_x
_atom_site_fract_y
_atom_site_fract_z
K1 K 0.000 0.162 0.162
Rb1 Rb 0.196 0.000 0.500
F1 F 0.000 0.000 0.500
F2 F 0.130 0.141 0.860
```

Values from the calculation:
- V (Å³ per cell) = 739.7
- energy (eV per atom) = -3.90
- energy relative to the elements, uncorrected (meV/atom) = -2399

Entry 7:
DFT (GGA-PBE) results for a relaxed KRbF6 crystal.

Cell and atoms, written as CIF:
```
data_KRbF6
_cell_length_a 7.536
_cell_length_b 5.634
_cell_length_c 7.603
_cell_angle_alpha 90.00
_cell_angle_beta 90.89
_cell_angle_gamma 90.00
_symmetry_space_group_name_H-M 'C 1 2/m 1'
_symmetry_Int_Tables_number 12
loop_
_symmetry_equiv_pos_as_xyz
'x,y,z'
'-x,-y,-z'
'-x,y,-z'
'x,-y,z'
'x+1/2,y+1/2,z'
'-x+1/2,-y+1/2,-z'
'-x+1/2,y+1/2,-z'
'x+1/2,-y+1/2,z'
loop_
_atom_site_label
_atom_site_type_symbol
_atom_site_fract_x
_atom_site_fract_y
_atom_site_fract_z
K1 K 0.000 0.000 0.000
Rb1 Rb 0.000 0.500 0.500
F1 F 0.211 0.000 0.272
F2 F 0.231 0.347 0.223
```

Values from the calculation:
- V (Å³ per cell) = 322.7
- energy (eV per atom) = -3.11
- energy relative to the elements, uncorrected (meV/atom) = -1447

Entry 8:
DFT (GGA-PBE) results for a relaxed KRbF4 crystal.

Cell and atoms, written as CIF:
```
data_KRbF4
_cell_length_a 10.206
_cell_length_b 10.358
_cell_length_c 7.289
_cell_angle_alpha 90.00
_cell_angle_beta 133.40
_cell_angle_gamma 90.00
_symmetry_space_group_name_H-M 'C 1 2/c 1'
_symmetry_Int_Tables_number 15
loop_
_symmetry_equiv_pos_as_xyz
'x,y,z'
'-x,-y,-z'
'-x,y,-z+1/2'
'x,-y,z+1/2'
'x+1/2,y+1/2,z'
'-x+1/2,-y+1/2,-z'
'-x+1/2,y+1/2,-z+1/2'
'x+1/2,-y+1/2,z+1/2'
loop_
_atom_site_label
_atom_site_type_symbol
_atom_site_fract_x
_atom_site_fract_y
_atom_site_fract_z
K1 K 0.000 0.052 0.250
Rb1 Rb 0.000 0.367 0.750
F1 F 0.152 0.155 0.094
F2 F 0.235 0.483 0.245
```

Values from the calculation:
- V (Å³ per cell) = 559.9
- energy (eV per atom) = -3.46
- energy relative to the elements, uncorrected (meV/atom) = -1866

Entry 9:
DFT (GGA-PBE) results for a relaxed K3Rb5F12 crystal.

Cell and atoms, written as CIF:
```
data_K3Rb5F12
_cell_length_a 15.798
_cell_length_b 15.798
_cell_length_c 15.798
_cell_angle_alpha 90.00
_cell_angle_beta 90.00
_cell_angle_gamma 90.00
_symmetry_space_group_name_H-M 'I a -3 d'
_symmetry_Int_Tables_number 230
_symmetry_space_group_name_Hall '-I 4bd 2c 3'
loop_
_atom_site_label
_atom_site_type_symbol
_atom_site_fract_x
_atom_site_fract_y
_atom_site_fract_z
K1 K 0.000 0.250 0.125
Rb1 Rb 0.000 0.000 0.000
Rb2 Rb 0.000 0.250 0.375
F1 F 0.011 0.084 0.663
```

Values from the calculation:
- V (Å³ per cell) = 3943.0
- energy (eV per atom) = -3.61
- energy relative to the elements, uncorrected (meV/atom) = -2083

Entry 10:
DFT (GGA-PBE) results for a relaxed KRb2F2 crystal.

Cell and atoms, written as CIF:
```
data_KRb2F2
_cell_length_a 5.189
_cell_length_b 5.189
_cell_length_c 15.091
_cell_angle_alpha 90.00
_cell_angle_beta 90.00
_cell_angle_gamma 90.00
_symmetry_space_group_name_H-M 'I 4/m m m'
_symmetry_Int_Tables_number 139
_symmetry_space_group_name_Hall '-I 4 2'
loop_
_atom_site_label
_atom_site_type_symbol
_atom_site_fract_x
_atom_site_fract_y
_atom_site_fract_z
K1 K 0.000 0.000 0.000
Rb1 Rb 0.000 0.000 0.304
F1 F 0.000 0.500 0.250
```

Values from the calculation:
- V (Å³ per cell) = 406.4
- excess energy over the best structure of this formula in the dataset (eV/f.u.) = 0.56
- energy (eV per atom) = -3.32
- energy relative to the elements, uncorrected (meV/atom) = -1960

Entry 11:
DFT (GGA-PBE) results for a relaxed KRb2F2 crystal.

Cell and atoms, written as CIF:
```
data_KRb2F2
_cell_length_a 5.375
_cell_length_b 5.375
_cell_length_c 13.671
_cell_angle_alpha 90.00
_cell_angle_beta 90.00
_cell_angle_gamma 90.00
_symmetry_space_group_name_H-M 'I 4/m m m'
_symmetry_Int_Tables_number 139
_symmetry_space_group_name_Hall '-I 4 2'
loop_
_atom_site_label
_atom_site_type_symbol
_atom_site_fract_x
_atom_site_fract_y
_atom_site_fract_z
K1 K 0.000 0.000 0.000
Rb1 Rb 0.000 0.500 0.250
F1 F 0.000 0.000 0.190
```

Values from the calculation:
- V (Å³ per cell) = 395.0
- excess energy over the best structure of this formula in the dataset (eV/f.u.) = 0.00
- energy (eV per atom) = -3.43
- energy relative to the elements, uncorrected (meV/atom) = -2072

Entry 12:
DFT (GGA-PBE) results for a relaxed K12Rb5F3 crystal.

Cell and atoms, written as CIF:
```
data_K12Rb5F3
_cell_length_a 23.268
_cell_length_b 23.268
_cell_length_c 23.268
_cell_angle_alpha 90.00
_cell_angle_beta 90.00
_cell_angle_gamma 90.00
_symmetry_space_group_name_H-M 'I a -3 d'
_symmetry_Int_Tables_number 230
_symmetry_space_group_name_Hall '-I 4bd 2c 3'
loop_
_atom_site_label
_atom_site_type_symbol
_atom_site_fract_x
_atom_site_fract_y
_atom_site_fract_z
K1 K 0.005 0.139 0.631
Rb1 Rb 0.000 0.000 0.000
Rb2 Rb 0.000 0.250 0.375
F1 F 0.000 0.250 0.125
```

Values from the calculation:
- V (Å³ per cell) = 12596.9
- energy (eV per atom) = -1.81
- energy relative to the elements, uncorrected (meV/atom) = -630